A relaxed structure of TbInPb3, computed with GGA-PBE.

Structure (POSCAR):
```
TbInPb3
1.0
-2.5984 3.5061 -0.9296
-3.0652 -4.3583 2.9523
2.7683 0.6681 5.4156
Tb In Pb
1 1 3
Cartesian
-1.1249 1.2320 1.2169 Tb
-1.8386 -2.0181 1.6865 In
-0.0421 -0.0004 4.1810 Pb
-2.4558 -1.1874 6.5982 Pb
-3.4389 0.1080 3.4827 Pb
```

Results
* spin magnetization: 0.0 Bohr magnetons per cell
* density: 10325 kg/m³
* energy above the most stable polymorph in this dataset: 0 kJ/mol of formula units

A relaxed structure of Tb12In3Pb, computed with GGA-PBE.

Structure (POSCAR):
```
Tb12In3Pb
1.0
-3.5126 -0.0111 -3.3595
1.5226 -4.3378 -1.5777
-11.9885 -8.7775 12.5639
Tb In Pb
12 3 1
Cartesian
-0.9950 -2.1745 -2.4686 Tb
-3.9907 -4.3678 0.6710 Tb
-6.9892 -6.5632 3.8134 Tb
-9.9877 -8.7586 6.9558 Tb
-3.2637 -1.1092 -0.1000 Tb
-6.2495 -3.2953 3.0291 Tb
-9.2516 -5.4933 6.1753 Tb
-12.2374 -7.6794 9.3044 Tb
-0.7461 -3.2726 0.7909 Tb
-3.7319 -5.4586 3.9200 Tb
-6.7340 -7.6567 7.0662 Tb
-9.7198 -9.8427 10.1953 Tb
-3.0085 -2.2027 3.1529 In
-5.9942 -4.3887 6.2819 In
-8.9799 -6.5748 9.4109 In
0.0000 0.0000 0.0000 Pb
```

Results
* spin magnetization: 0.0 Bohr magnetons per cell
* calculated total energy: -4.50 eV per atom
* density: 8882 kg/m³

A relaxed structure of Tb4InPb2, computed with GGA-PBE.

Structure (POSCAR):
```
Tb4InPb2
1.0
-0.5719 -5.2885 -2.2282
-1.3805 -2.3771 5.9960
-10.0643 5.2123 -0.2508
Tb In Pb
8 2 4
Cartesian
-3.7230 -2.9336 1.6806 Tb
-9.8396 2.7231 4.2563 Tb
-2.1771 -5.1763 -0.7393 Tb
-4.3856 -4.0746 4.5586 Tb
-6.3874 -1.9801 -0.4415 Tb
-7.6311 1.6214 -1.0415 Tb
-8.2937 0.4804 1.8365 Tb
-5.6293 -0.4731 3.9586 Tb
-2.7973 -1.2800 4.2907 In
-9.2194 -1.1732 -0.7737 In
-11.4075 0.3583 2.9578 Pb
-0.6092 -2.8115 0.5592 Pb
-4.8096 0.4744 0.8948 Pb
-7.2071 -2.9276 2.6222 Pb
```

Results
* spin magnetization: 0.0 Bohr magnetons per cell
* calculated total energy: -4.44 eV per atom
* density: 9486 kg/m³